## Ce2ThTe (PBE)

Data for an optimized crystal structure of Ce2ThTe.

Values from the calculation:
E above lowest polymorph (eV/atom): 0.000
Uncorrected formation energy (eV per atom): -0.510
Volume (Å³ per cell): 109.1
DOS at the Fermi energy (states/eV per atom): 2.450
Final energy (eV/cell): -24.47

Structure (extended XYZ):
```
4
Lattice="4.814 0.000 0.000 0.000 4.814 0.000 0.000 0.000 4.708" Properties=species:S:1:pos:R:3 pbc="T T T"
Ce 0.000 2.407 0.000
Ce 2.407 0.000 0.000
Th 0.000 0.000 2.354
Te 2.407 2.407 2.354
```

## Ho2Ge2HRu2 (PBE)

Data for an optimized crystal structure of Ho2Ge2HRu2.

Values from the calculation:
Volume (Å³ per cell): 117.9
DOS at the Fermi energy (states/eV per atom): 0.392
Final energy (eV/cell): -45.06

Structure (extended XYZ):
```
7
Lattice="-2.060 2.060 6.946 2.060 -2.060 6.946 2.060 2.060 -6.946" Properties=species:S:1:pos:R:3 pbc="T T T"
Ho 0.000 0.000 2.213
Ho 0.000 0.000 11.679
Ge 0.000 0.000 5.360
Ge 0.000 0.000 8.532
H 0.000 0.000 0.000
Ru 2.060 0.000 0.000
Ru 0.000 2.060 0.000
```

## Re2PdPb (PBE)

Data for an optimized crystal structure of Re2PdPb.

Values from the calculation:
E_form (eV/atom): 2.081
Volume (Å³ per cell): 204.9
DOS at the Fermi energy (states/eV per atom): 0.877
Final energy (eV/cell): -50.95

Structure (extended XYZ):
```
8
Lattice="-3.074 3.074 5.422 3.074 -3.074 5.422 3.074 3.074 -5.422" Properties=species:S:1:pos:R:3 pbc="T T T"
Re 4.610 1.273 -1.355
Re 1.273 1.537 1.355
Re -1.537 1.801 4.066
Re 1.801 1.537 6.777
Pd 0.000 0.000 0.000
Pd 0.000 3.074 2.711
Pb 3.074 0.000 2.711
Pb 0.000 0.000 5.422
```